## ZrTc2P (PBE)

Data for ZrTc2P after structural relaxation.

Cell: 9.518 9.518 9.518 Å, 156.36 156.36 33.68°
Positions (direct):
Zr1 0.000 0.000 0.000
Zr2 0.750 0.250 0.500
Tc1 0.199 0.625 0.074
Tc2 0.375 0.449 0.574
Tc3 0.551 0.125 0.926
Tc4 0.875 0.801 0.426
P1 0.250 0.750 0.500
P2 0.500 0.500 0.000

Values from the calculation:
total moment: 0.0 μB/cell
V: 139 Å³ per cell
E_form: -0.103 eV per atom
space group: I-42d